Here is Sn2SbF2 after structural relaxation from the Alexandria database. Energies are from GGA-PBE. Values from VASP.

* electronic total energy: -3.6389 eV/atom
* formation energy from raw total energies: -0.465 eV/atom

```
&SYSTEM
  ibrav = 0, nat = 5, ntyp = 3
/
ATOMIC_SPECIES
Sb 121.76 Sb.upf
Sn 118.71 Sn.upf
F 19.00 F.upf
CELL_PARAMETERS angstrom
5.9196 0.0000 0.0000
0.0000 5.9196 0.0000
0.0000 0.0000 4.2411
ATOMIC_POSITIONS crystal
Sb 0.0000 0.0000 0.0000
Sn 0.0000 0.5000 0.0000
Sn 0.5000 0.0000 0.0000
F 0.5000 0.5000 0.5000
F 0.0000 0.0000 0.5000
```

Here is Sn2SbF after structural relaxation from the Alexandria database. Energies are from GGA-PBE. Values from VASP.

* electronic total energy: -4.1876 eV/atom
* formation energy from raw total energies: -0.688 eV/atom
* energy above the lowest structure with this stoichiometry: 0 meV/atom

```
&SYSTEM
  ibrav = 0, nat = 4, ntyp = 3
/
ATOMIC_SPECIES
Sb 121.76 Sb.upf
Sn 118.71 Sn.upf
F 19.00 F.upf
CELL_PARAMETERS angstrom
-2.4172 -2.2424 -2.8587
-3.6015 -2.0695 1.3378
-5.2146 3.4310 -1.6130
ATOMIC_POSITIONS crystal
Sb 0.5000 0.5000 0.5000
Sn 0.2646 0.2646 0.2061
Sn 0.7354 0.7354 0.7939
F 0.0000 0.0000 0.0000
```

Here is SnSb2F8 after structural relaxation from the Alexandria database. Energies are from GGA-PBE. Values from VASP.

* electronic total energy: -4.7466 eV/atom
* formation energy from raw total energies: -2.272 eV/atom

```
&SYSTEM
  ibrav = 0, nat = 11, ntyp = 3
/
ATOMIC_SPECIES
Sn 118.71 Sn.upf
Sb 121.76 Sb.upf
F 19.00 F.upf
CELL_PARAMETERS angstrom
-1.4516 -0.4808 4.8400
-5.0833 -2.8250 -3.0273
1.5409 -6.2218 -1.3781
ATOMIC_POSITIONS crystal
Sn 0.0000 0.0000 0.0000
Sb 0.4624 0.6981 0.6981
Sb 0.5376 0.3019 0.3019
F 0.2837 0.3573 0.0099
F 0.7163 0.9901 0.6427
F 0.3045 0.8711 0.8711
F 0.6955 0.1289 0.1289
F 0.2837 0.0099 0.3573
F 0.7163 0.6427 0.9901
F 0.7605 0.5993 0.5993
F 0.2395 0.4007 0.4007
```

Here is SnSb3F after structural relaxation from the Alexandria database. Energies are from GGA-PBE. Values from VASP.

* electronic total energy: -3.7829 eV/atom
* formation energy from raw total energies: -0.135 eV/atom
* energy above the lowest structure with this stoichiometry: 0 meV/atom

```
&SYSTEM
  ibrav = 0, nat = 5, ntyp = 3
/
ATOMIC_SPECIES
Sb 121.76 Sb.upf
Sn 118.71 Sn.upf
F 19.00 F.upf
CELL_PARAMETERS angstrom
-4.8570 1.0939 0.6182
-0.7408 -4.4868 2.1188
1.0149 1.9599 4.5053
ATOMIC_POSITIONS crystal
Sb 0.0000 0.5000 0.0000
Sb 0.0000 0.0000 0.5000
Sb 0.5000 0.0000 0.0000
Sn 0.5000 0.5000 0.5000
F 0.0000 0.0000 0.0000
```

Here is Sn3SbF after structural relaxation from the Alexandria database. Energies are from GGA-PBE. Values from VASP.

* electronic total energy: -3.2222 eV/atom
* formation energy from raw total energies: 0.378 eV/atom
* energy above the lowest structure with this stoichiometry: 695 meV/atom

```
&SYSTEM
  ibrav = 0, nat = 5, ntyp = 3
/
ATOMIC_SPECIES
Sb 121.76 Sb.upf
Sn 118.71 Sn.upf
F 19.00 F.upf
CELL_PARAMETERS angstrom
-4.4558 -1.0223 3.6081
-0.5917 -5.3415 -2.2442
3.7032 -2.0836 3.9829
ATOMIC_POSITIONS crystal
Sb 0.0000 0.0000 0.0000
Sn 0.0000 0.5000 0.0000
Sn 0.0000 0.0000 0.5000
Sn 0.5000 0.0000 0.0000
F 0.5000 0.5000 0.5000
```

Here is SnSbF5 after structural relaxation from the Alexandria database. Energies are from GGA-PBE. Values from VASP.

* electronic total energy: -4.8146 eV/atom
* formation energy from raw total energies: -2.317 eV/atom

```
&SYSTEM
  ibrav = 0, nat = 14, ntyp = 3
/
ATOMIC_SPECIES
Sn 118.71 Sn.upf
Sb 121.76 Sb.upf
F 19.00 F.upf
CELL_PARAMETERS angstrom
5.4986 -0.3464 0.9422
0.5679 5.4802 0.9422
-0.8642 -0.7313 8.5138
ATOMIC_POSITIONS crystal
Sn 0.5520 0.4911 0.3030
Sn 0.4911 0.5520 0.8030
Sb 0.9661 0.0598 0.0059
Sb 0.0598 0.9661 0.5059
F 0.8128 0.1128 0.8041
F 0.1128 0.8128 0.3041
F 0.8126 0.7263 0.5574
F 0.2539 0.2716 0.8365
F 0.1720 0.7709 0.9072
F 0.3129 0.6463 0.5799
F 0.6463 0.3129 0.0799
F 0.7709 0.1720 0.4072
F 0.7263 0.8126 0.0574
F 0.2716 0.2539 0.3365
```

Here is SnSb3F after structural relaxation from the Alexandria database. Energies are from GGA-PBE. Values from VASP.

* electronic total energy: -3.0714 eV/atom
* formation energy from raw total energies: 0.577 eV/atom
* energy above the lowest structure with this stoichiometry: 712 meV/atom

```
&SYSTEM
  ibrav = 0, nat = 5, ntyp = 3
/
ATOMIC_SPECIES
Sb 121.76 Sb.upf
Sn 118.71 Sn.upf
F 19.00 F.upf
CELL_PARAMETERS angstrom
-0.7871 5.2468 -1.9409
-5.5049 -1.0752 -0.6742
-0.9956 1.7973 5.2625
ATOMIC_POSITIONS crystal
Sb 0.0000 0.5000 0.0000
Sb 0.0000 0.0000 0.5000
Sb 0.5000 0.0000 0.0000
Sn 0.0000 0.0000 0.0000
F 0.5000 0.5000 0.5000
```

Here is Sn2SbF after structural relaxation from the Alexandria database. Energies are from GGA-PBE. Values from VASP.

* electronic total energy: -4.1141 eV/atom
* formation energy from raw total energies: -0.614 eV/atom
* energy above the lowest structure with this stoichiometry: 73 meV/atom

```
&SYSTEM
  ibrav = 0, nat = 8, ntyp = 3
/
ATOMIC_SPECIES
Sb 121.76 Sb.upf
Sn 118.71 Sn.upf
F 19.00 F.upf
CELL_PARAMETERS angstrom
5.4025 0.0000 0.0000
0.0000 5.4025 0.0000
2.7013 2.7013 7.7883
ATOMIC_POSITIONS crystal
Sb 0.0000 0.0000 0.0000
Sb 0.7500 0.2500 0.5000
Sn 0.5276 0.1250 0.2500
Sn 0.2224 0.6250 0.2500
Sn 0.3750 0.4724 0.7500
Sn 0.8750 0.7776 0.7500
F 0.5000 0.5000 0.0000
F 0.2500 0.7500 0.5000
```

Here is SnSbF after structural relaxation from the Alexandria database. Energies are from GGA-PBE. Values from VASP.

* electronic total energy: -4.1653 eV/atom
* formation energy from raw total energies: -0.833 eV/atom

```
&SYSTEM
  ibrav = 0, nat = 3, ntyp = 3
/
ATOMIC_SPECIES
Sb 121.76 Sb.upf
Sn 118.71 Sn.upf
F 19.00 F.upf
CELL_PARAMETERS angstrom
4.2723 0.0000 0.0000
0.0000 4.2723 0.0000
-2.1362 -2.1362 3.8936
ATOMIC_POSITIONS crystal
Sb 0.9935 0.9935 0.9871
Sn 0.5717 0.5717 0.1434
F 0.2848 0.2848 0.5695
```

Here is Sn3SbF after structural relaxation from the Alexandria database. Energies are from GGA-PBE. Values from VASP.

* electronic total energy: -3.9173 eV/atom
* formation energy from raw total energies: -0.317 eV/atom
* energy above the lowest structure with this stoichiometry: 0 meV/atom

```
&SYSTEM
  ibrav = 0, nat = 5, ntyp = 3
/
ATOMIC_SPECIES
Sb 121.76 Sb.upf
Sn 118.71 Sn.upf
F 19.00 F.upf
CELL_PARAMETERS angstrom
5.0534 0.0000 0.0000
0.0000 5.0534 0.0000
0.0000 0.0000 5.0534
ATOMIC_POSITIONS crystal
Sb 0.5000 0.5000 0.5000
Sn 0.0000 0.5000 0.0000
Sn 0.0000 0.0000 0.5000
Sn 0.5000 0.0000 0.0000
F 0.0000 0.0000 0.0000
```

Here is Sn2SbF after structural relaxation from the Alexandria database. Energies are from GGA-PBE. Values from VASP.

* electronic total energy: -4.0985 eV/atom
* formation energy from raw total energies: -0.599 eV/atom
* energy above the lowest structure with this stoichiometry: 89 meV/atom

```
&SYSTEM
  ibrav = 0, nat = 4, ntyp = 3
/
ATOMIC_SPECIES
Sb 121.76 Sb.upf
Sn 118.71 Sn.upf
F 19.00 F.upf
CELL_PARAMETERS angstrom
-2.6734 0.9266 4.2680
-5.0889 0.5215 -0.2290
-3.0363 -3.6289 1.9578
ATOMIC_POSITIONS crystal
Sb 0.5000 0.5000 0.5000
Sn 0.2500 0.2500 0.2500
Sn 0.7500 0.7500 0.7500
F 0.0000 0.0000 0.0000
```

Here is Sr2SnSbF after structural relaxation from the Alexandria database. Energies are from GGA-PBE. Values from VASP.

* electronic total energy: -3.5106 eV/atom
* formation energy from raw total energies: -0.839 eV/atom

```
&SYSTEM
  ibrav = 0, nat = 5, ntyp = 4
/
ATOMIC_SPECIES
Sb 121.76 Sb.upf
F 19.00 F.upf
Sn 118.71 Sn.upf
Sr 87.62 Sr.upf
CELL_PARAMETERS angstrom
6.3491 0.0000 0.0000
0.0000 4.4469 0.0000
0.0000 0.0000 6.3491
ATOMIC_POSITIONS crystal
Sb 0.5000 0.5000 0.5000
F 0.0000 0.5000 0.0000
Sn 0.0000 0.0000 0.0000
Sr 0.0000 0.0000 0.5000
Sr 0.5000 0.0000 0.0000
```

Here is SnSbTe2F after structural relaxation from the Alexandria database. Energies are from GGA-PBE. Values from VASP.

* electronic total energy: -2.8239 eV/atom
* formation energy from raw total energies: 0.432 eV/atom
* energy above the lowest structure with this stoichiometry: 593 meV/atom

```
&SYSTEM
  ibrav = 0, nat = 5, ntyp = 4
/
ATOMIC_SPECIES
Sb 121.76 Sb.upf
Te 127.60 Te.upf
Sn 118.71 Sn.upf
F 19.00 F.upf
CELL_PARAMETERS angstrom
-3.1492 2.1923 -4.1599
-4.0833 -3.7578 1.1108
-2.3640 3.6695 3.7236
ATOMIC_POSITIONS crystal
Sb 0.0000 0.0000 0.5000
Te 0.0000 0.5000 0.0000
Te 0.5000 0.0000 0.0000
Sn 0.0000 0.0000 0.0000
F 0.5000 0.5000 0.5000
```

Here is SnSb2TeF after structural relaxation from the Alexandria database. Energies are from GGA-PBE. Values from VASP.

* electronic total energy: -2.9581 eV/atom
* formation energy from raw total energies: 0.494 eV/atom
* energy above the lowest structure with this stoichiometry: 641 meV/atom

```
&SYSTEM
  ibrav = 0, nat = 5, ntyp = 4
/
ATOMIC_SPECIES
Sb 121.76 Sb.upf
Te 127.60 Te.upf
Sn 118.71 Sn.upf
F 19.00 F.upf
CELL_PARAMETERS angstrom
-5.0734 0.4002 -2.5150
-2.5466 -0.8361 5.0041
-0.0176 5.5794 0.9233
ATOMIC_POSITIONS crystal
Sb 0.0000 0.5000 0.0000
Sb 0.5000 0.0000 0.0000
Te 0.0000 0.0000 0.5000
Sn 0.0000 0.0000 0.0000
F 0.5000 0.5000 0.5000
```